No. 1
Entry from Alexandria via LeMat-Bulk: a relaxed structure of AcSbRh (GGA-PBE).

Computed properties:
Formation energy from raw total energies = -0.904 eV/atom
Electronic total energy = -6.10 eV per atom
Space group = Pnma, No. 62
Density of states at the Fermi level = 0.966 states/eV per atom
Magnetization = 0.000 μB per formula unit

Unit cell a=4.795 b=8.075 c=7.839 alpha=90.00 beta=90.00 gamma=90.00
Atoms (fractional coordinates):
Ac  0.250  0.804  0.482
Ac  0.750  0.196  0.518
Ac  0.250  0.696  0.982
Ac  0.750  0.304  0.018
Rh  0.250  0.413  0.694
Rh  0.250  0.087  0.194
Rh  0.750  0.913  0.806
Rh  0.750  0.587  0.306
Sb  0.750  0.913  0.182
Sb  0.250  0.413  0.318
Sb  0.250  0.087  0.818
Sb  0.750  0.587  0.682

No. 2
Entry from Alexandria via LeMat-Bulk: a relaxed structure of KBiNO2 (GGA-PBE).

Computed properties:
Formation energy from raw total energies = -0.183 eV/atom
Electronic total energy = -4.83 eV per atom
Space group = P4/mmm, No. 123
Density of states at the Fermi level = 0.551 states/eV per atom
Magnetization = 1.318 μB per formula unit

Unit cell a=4.344 b=4.344 c=4.455 alpha=90.00 beta=90.00 gamma=90.00
Site moments in Bohr magnetons follow the coordinates.
Atoms (fractional coordinates):
O  0.500  0.000  0.000  0.08
O  0.000  0.500  0.000  0.08
K  0.500  0.500  0.500  0.00
Bi  0.000  0.000  0.000  -0.05
N  0.000  0.000  0.500  0.77

No. 3
Entry from Alexandria via LeMat-Bulk: a relaxed structure of Sm6DySc6 (GGA-PBE).

Computed properties:
Electronic total energy = -5.23 eV per atom
Space group = P6/mmm, No. 191
Density of states at the Fermi level = 2.309 states/eV per atom
Calculated formation energy = 0.2252 eV/atom
Magnetization = 0.003 μB per formula unit

Unit cell a=6.466 b=6.466 c=10.950 alpha=90.00 beta=90.00 gamma=119.98
Atoms (fractional coordinates):
Sm  0.000  0.000  0.335
Sm  0.667  0.333  0.000
Sm  0.333  0.667  0.500
Sm  0.333  0.667  0.000
Sm  0.667  0.333  0.500
Sm  0.000  0.000  0.665
Sc  0.500  0.000  0.756
Sc  0.000  0.500  0.244
Sc  0.500  0.500  0.244
Sc  0.500  0.000  0.244
Sc  0.500  0.500  0.756
Sc  0.000  0.500  0.756
Dy  0.000  0.000  0.000

No. 4
Entry from Alexandria via LeMat-Bulk: a relaxed structure of NaCdIr2 (GGA-PBE).

Computed properties:
Electronic total energy = -4.21 eV per atom
Space group = I-42d, No. 122
Density of states at the Fermi level = 0.704 states/eV per atom
Calculated formation energy = 0.7789 eV/atom
Magnetization = 0.000 μB per formula unit

Unit cell a=7.793 b=7.793 c=6.060 alpha=49.99 beta=49.99 gamma=90.00
Atoms (fractional coordinates):
Na  0.250  0.750  0.500
Na  0.500  0.500  0.000
Cd  0.750  0.250  0.500
Cd  0.000  0.000  0.000
Ir  0.643  0.125  0.250
Ir  0.375  0.357  0.750
Ir  0.875  0.893  0.750
Ir  0.107  0.625  0.250